Entry 1:
Density functional theory data (PBE) for an optimized crystal structure of Ac3Tm2In3.

```
data_Ac3Tm2In3
_chemical_formula_sum 'Ac3 Tm2 In3'
_symmetry_space_group_name_H-M 'P 1'
_symmetry_Int_Tables_number 1
_symmetry_space_group_name_Hall 'P 1'
_cell_length_a 3.9895
_cell_length_b 5.7452
_cell_length_c 12.2355
_cell_angle_alpha 103.58
_cell_angle_beta 99.38
_cell_angle_gamma 90.00
loop_
_atom_site_label
_atom_site_type_symbol
_atom_site_fract_x
_atom_site_fract_y
_atom_site_fract_z
Ac1 Ac 0.6243 0.6243 0.2486
Ac2 Ac 0.3757 0.3757 0.7514
Ac3 Ac 0.5000 0.0000 0.0000
Tm1 Tm 0.7365 0.2365 0.4731
Tm2 Tm 0.2635 0.7635 0.5269
In1 In 0.1311 0.1311 0.2622
In2 In 0.0000 0.5000 0.0000
In3 In 0.8689 0.8689 0.7378
```

Output
Symmetry: Immm
Energy of formation from the pure elements (eV/atom): -0.293

=====

Entry 2:
Density functional theory data (PBE) for an optimized crystal structure of Zr2InAsOs.

```
data_Zr2InAsOs
_chemical_formula_sum 'Zr2 In1 As1 Os1'
_symmetry_space_group_name_H-M 'P 1'
_symmetry_Int_Tables_number 1
_symmetry_space_group_name_Hall 'P 1'
_cell_length_a 4.9977
_cell_length_b 4.5681
_cell_length_c 4.9977
_cell_angle_alpha 90.00
_cell_angle_beta 90.00
_cell_angle_gamma 90.00
loop_
_atom_site_label
_atom_site_type_symbol
_atom_site_fract_x
_atom_site_fract_y
_atom_site_fract_z
As1 As 0.0000 0.0000 0.0000
Os1 Os 0.0000 0.5000 0.0000
Zr1 Zr 0.0000 0.0000 0.5000
Zr2 Zr 0.5000 0.0000 0.0000
In1 In 0.5000 0.5000 0.5000
```

Output
Symmetry: P4/mmm
Energy of formation from the pure elements (eV/atom): 0.304

=====

Entry 3:
Density functional theory data (PBE) for an optimized crystal structure of Ac6NdHo.

```
data_Ac6NdHo
_chemical_formula_sum 'Ac6 Nd1 Ho1'
_symmetry_space_group_name_H-M 'P 1'
_symmetry_Int_Tables_number 1
_symmetry_space_group_name_Hall 'P 1'
_cell_length_a 5.5044
_cell_length_b 5.5044
_cell_length_c 11.0197
_cell_angle_alpha 90.00
_cell_angle_beta 90.00
_cell_angle_gamma 90.00
loop_
_atom_site_label
_atom_site_type_symbol
_atom_site_fract_x
_atom_site_fract_y
_atom_site_fract_z
Ac1 Ac 0.5000 0.5000 0.0000
Ac2 Ac 0.5000 0.5000 0.5000
Ac3 Ac 0.5000 0.0000 0.2518
Ac4 Ac 0.5000 0.0000 0.7482
Ac5 Ac 0.0000 0.5000 0.2518
Ac6 Ac 0.0000 0.5000 0.7482
Nd1 Nd 0.0000 0.0000 0.0000
Ho1 Ho 0.0000 0.0000 0.5000
```

Output
Symmetry: P4/mmm
Energy of formation from the pure elements (eV/atom): 0.030
E above lowest polymorph (eV/atom): 0.000

=====

Entry 4:
Density functional theory data (PBE) for an optimized crystal structure of Nd6Dy8Tm.

```
data_Nd6Dy8Tm
_chemical_formula_sum 'Nd6 Dy8 Tm1'
_symmetry_space_group_name_H-M 'P 1'
_symmetry_Int_Tables_number 1
_symmetry_space_group_name_Hall 'P 1'
_cell_length_a 9.1249
_cell_length_b 9.1249
_cell_length_c 8.7238
_cell_angle_alpha 58.47
_cell_angle_beta 58.47
_cell_angle_gamma 60.00
loop_
_atom_site_label
_atom_site_type_symbol
_atom_site_fract_x
_atom_site_fract_y
_atom_site_fract_z
Nd1 Nd 0.4615 0.8974 0.8696
Nd2 Nd 0.1026 0.2285 0.1304
Nd3 Nd 0.2285 0.5385 0.1304
Nd4 Nd 0.7715 0.4615 0.8696
Nd5 Nd 0.8974 0.7715 0.8696
Nd6 Nd 0.5385 0.1026 0.1304
Dy1 Dy 0.2511 0.2814 0.5794
Dy2 Dy 0.7186 0.1120 0.4206
Dy3 Dy 0.1120 0.7489 0.4206
Dy4 Dy 0.5769 0.5769 0.2692
Dy5 Dy 0.4231 0.4231 0.7308
Dy6 Dy 0.8880 0.2511 0.5794
Dy7 Dy 0.2814 0.8880 0.5794
Dy8 Dy 0.7489 0.7186 0.4206
Tm1 Tm 0.0000 0.0000 0.0000
```

Output
Symmetry: R-3
Energy of formation from the pure elements (eV/atom): 0.117
E above lowest polymorph (eV/atom): 0.000

=====

Entry 5:
Density functional theory data (PBE) for an optimized crystal structure of Pr2Sm5ErTm.

```
data_Pr2Sm5ErTm
_chemical_formula_sum 'Pr4 Sm10 Er2 Tm2'
_symmetry_space_group_name_H-M 'P 1'
_symmetry_Int_Tables_number 1
_symmetry_space_group_name_Hall 'P 1'
_cell_length_a 8.5690
_cell_length_b 8.5690
_cell_length_c 10.2928
_cell_angle_alpha 114.60
_cell_angle_beta 114.60
_cell_angle_gamma 90.00
loop_
_atom_site_label
_atom_site_type_symbol
_atom_site_fract_x
_atom_site_fract_y
_atom_site_fract_z
Pr1 Pr 0.1218 0.3782 0.0000
Pr2 Pr 0.6218 0.1218 0.0000
Pr3 Pr 0.3782 0.8782 0.0000
Pr4 Pr 0.8782 0.6218 0.0000
Sm1 Sm 0.9251 0.4251 0.2882
Sm2 Sm 0.6369 0.1369 0.7118
Sm3 Sm 0.0749 0.5749 0.7118
Sm4 Sm 0.1369 0.0749 0.7118
Sm5 Sm 0.5749 0.6369 0.7118
Sm6 Sm 0.8631 0.9251 0.2882
Sm7 Sm 0.4251 0.3631 0.2882
Sm8 Sm 0.3631 0.8631 0.2882
Sm9 Sm 0.5000 0.5000 0.0000
Sm10 Sm 0.0000 0.0000 0.0000
Er1 Er 0.2500 0.2500 0.5000
Er2 Er 0.7500 0.7500 0.5000
Tm1 Tm 0.2500 0.7500 0.5000
Tm2 Tm 0.7500 0.2500 0.5000
```

Output
Symmetry: I4/mcm
Energy of formation from the pure elements (eV/atom): 0.273

=====

Entry 6:
Density functional theory data (PBE) for an optimized crystal structure of Y2Si4NiPt3.

```
data_Y2Si4NiPt3
_chemical_formula_sum 'Y2 Si4 Ni1 Pt3'
_symmetry_space_group_name_H-M 'P 1'
_symmetry_Int_Tables_number 1
_symmetry_space_group_name_Hall 'P 1'
_cell_length_a 4.1399
_cell_length_b 4.1399
_cell_length_c 9.9022
_cell_angle_alpha 90.00
_cell_angle_beta 90.00
_cell_angle_gamma 90.00
loop_
_atom_site_label
_atom_site_type_symbol
_atom_site_fract_x
_atom_site_fract_y
_atom_site_fract_z
Y1 Y 0.5000 0.0000 0.2544
Y2 Y 0.0000 0.5000 0.7456
Si1 Si 0.5000 0.5000 0.0000
Si2 Si 0.0000 0.0000 0.0000
Si3 Si 0.5000 0.0000 0.6273
Si4 Si 0.0000 0.5000 0.3727
Ni1 Ni 0.5000 0.5000 0.5000
Pt1 Pt 0.0000 0.0000 0.5000
Pt2 Pt 0.5000 0.0000 0.8717
Pt3 Pt 0.0000 0.5000 0.1283
```

Output
Symmetry: P-4m2
Raw formation energy (eV per atom): -1.0389

=====

Entry 7:
Density functional theory data (PBE) for an optimized crystal structure of Pr3Cd.

```
data_Pr3Cd
_chemical_formula_sum 'Pr3 Cd1'
_symmetry_space_group_name_H-M 'P 1'
_symmetry_Int_Tables_number 1
_symmetry_space_group_name_Hall 'P 1'
_cell_length_a 3.7659
_cell_length_b 5.9207
_cell_length_c 6.8054
_cell_angle_alpha 115.79
_cell_angle_beta 106.06
_cell_angle_gamma 90.00
loop_
_atom_site_label
_atom_site_type_symbol
_atom_site_fract_x
_atom_site_fract_y
_atom_site_fract_z
Pr1 Pr 0.2757 0.6349 0.5515
Pr2 Pr 0.5000 0.4595 0.0000
Pr3 Pr 0.7243 0.0834 0.4485
Cd1 Cd 0.0000 0.9888 0.0000
```

Output
Symmetry: Imm2
Energy of formation from the pure elements (eV/atom): -0.135
E above lowest polymorph (eV/atom): 0.000

=====

Entry 8:
Density functional theory data (PBE) for an optimized crystal structure of Li2DyCl5.

```
data_Li2DyCl5
_chemical_formula_sum 'Li2 Dy1 Cl5'
_symmetry_space_group_name_H-M 'P 1'
_symmetry_Int_Tables_number 1
_symmetry_space_group_name_Hall 'P 1'
_cell_length_a 6.6974
_cell_length_b 7.3825
_cell_length_c 7.3826
_cell_angle_alpha 65.73
_cell_angle_beta 59.38
_cell_angle_gamma 59.38
loop_
_atom_site_label
_atom_site_type_symbol
_atom_site_fract_x
_atom_site_fract_y
_atom_site_fract_z
Li1 Li 0.6398 0.5892 0.0101
Li2 Li 0.6398 0.0100 0.5892
Dy1 Dy 0.9575 0.0216 0.0216
Cl1 Cl 0.5490 0.2781 0.2781
Cl2 Cl 0.0574 0.3559 0.8141
Cl3 Cl 0.0574 0.8141 0.3559
Cl4 Cl 0.4004 0.7789 0.7788
Cl5 Cl 0.6987 0.9292 0.9291
```

Output
Symmetry: Cm
Raw formation energy (eV per atom): -1.9731

=====

Entry 9:
Density functional theory data (PBE) for an optimized crystal structure of TcNiSe2.

```
data_TcNiSe2
_chemical_formula_sum 'Tc1 Ni1 Se2'
_symmetry_space_group_name_H-M 'P 1'
_symmetry_Int_Tables_number 1
_symmetry_space_group_name_Hall 'P 1'
_cell_length_a 4.1927
_cell_length_b 4.1927
_cell_length_c 5.2549
_cell_angle_alpha 82.82
_cell_angle_beta 82.82
_cell_angle_gamma 44.66
loop_
_atom_site_label
_atom_site_type_symbol
_atom_site_fract_x
_atom_site_fract_y
_atom_site_fract_z
Ni1 Ni 0.2500 0.2500 0.2500
Se1 Se 0.0296 0.0296 0.9888
Se2 Se 0.4704 0.4704 0.5112
Tc1 Tc 0.7500 0.7500 0.7500
```

Output
Symmetry: C2/m
Raw formation energy (eV per atom): 0.1238
E above lowest polymorph (eV/atom): 0.401

=====

Entry 10:
Density functional theory data (PBE) for an optimized crystal structure of BePbO2F.

```
data_BePbO2F
_chemical_formula_sum 'Be1 Pb1 O2 F1'
_symmetry_space_group_name_H-M 'P 1'
_symmetry_Int_Tables_number 1
_symmetry_space_group_name_Hall 'P 1'
_cell_length_a 3.8487
_cell_length_b 3.8487
_cell_length_c 3.4181
_cell_angle_alpha 90.00
_cell_angle_beta 90.00
_cell_angle_gamma 90.00
loop_
_atom_site_label
_atom_site_type_symbol
_atom_site_fract_x
_atom_site_fract_y
_atom_site_fract_z
Pb1 Pb 0.5000 0.5000 0.5000
Be1 Be 0.0000 0.0000 0.0000
O1 O 0.0000 0.5000 0.0000
O2 O 0.5000 0.0000 0.0000
F1 F 0.0000 0.0000 0.5000
```

Output
Symmetry: P4/mmm
Raw formation energy (eV per atom): -1.5810

=====

Entry 11:
Density functional theory data (PBE) for an optimized crystal structure of Cd2SeI2.

```
data_Cd2SeI2
_chemical_formula_sum 'Cd2 Se1 I2'
_symmetry_space_group_name_H-M 'P 1'
_symmetry_Int_Tables_number 1
_symmetry_space_group_name_Hall 'P 1'
_cell_length_a 6.1753
_cell_length_b 6.1753
_cell_length_c 6.3557
_cell_angle_alpha 60.93
_cell_angle_beta 60.93
_cell_angle_gamma 90.00
loop_
_atom_site_label
_atom_site_type_symbol
_atom_site_fract_x
_atom_site_fract_y
_atom_site_fract_z
I1 I 0.3040 0.3040 0.3920
I2 I 0.6960 0.6960 0.6080
Se1 Se 0.0000 0.0000 0.0000
Cd1 Cd 0.7500 0.2500 0.5000
Cd2 Cd 0.2500 0.7500 0.5000
```

Output
Symmetry: I4/mmm
Raw formation energy (eV per atom): 0.1264
E above lowest polymorph (eV/atom): 0.563

=====

Entry 12:
Density functional theory data (PBE) for an optimized crystal structure of Hf3PaHg.

```
data_Hf3PaHg
_chemical_formula_sum 'Hf6 Pa2 Hg2'
_symmetry_space_group_name_H-M 'P 1'
_symmetry_Int_Tables_number 1
_symmetry_space_group_name_Hall 'P 1'
_cell_length_a 3.2950
_cell_length_b 8.1916
_cell_length_c 8.3586
_cell_angle_alpha 91.80
_cell_angle_beta 90.00
_cell_angle_gamma 90.00
loop_
_atom_site_label
_atom_site_type_symbol
_atom_site_fract_x
_atom_site_fract_y
_atom_site_fract_z
Hf1 Hf 0.2500 0.0740 0.1509
Hf2 Hf 0.7500 0.9260 0.8491
Hf3 Hf 0.7500 0.5330 0.6461
Hf4 Hf 0.2500 0.4670 0.3539
Hf5 Hf 0.2500 0.2340 0.7817
Hf6 Hf 0.7500 0.7660 0.2183
Pa1 Pa 0.2500 0.8491 0.5289
Pa2 Pa 0.7500 0.1509 0.4711
Hg1 Hg 0.7500 0.3658 0.0674
Hg2 Hg 0.2500 0.6342 0.9326
```

Output
Symmetry: P2_1/m
Energy of formation from the pure elements (eV/atom): 0.005